No. 1
Compound: SmSbAu3
Source: the Alexandria database
Functional: PBE
Structure: optimized geometry

Unit cell a=7.5484 b=7.6722 c=8.6156 alpha=113.69 beta=90.00 gamma=90.00
Positions (direct):
Sm (0.0409, 0.2996, 0.7544)
Sm (0.4591, 0.2996, 0.2544)
Sm (0.9591, 0.7004, 0.2456)
Sm (0.5409, 0.7004, 0.7456)
Sb (0.7580, 0.1063, 0.9625)
Sb (0.7420, 0.1063, 0.4625)
Sb (0.2420, 0.8937, 0.0375)
Sb (0.2580, 0.8937, 0.5375)
Au (0.4272, 0.2967, 0.6243)
Au (0.6157, 0.8765, 0.1382)
Au (0.9272, 0.7033, 0.8757)
Au (0.1835, 0.5296, 0.5391)
Au (0.6835, 0.4704, 0.9609)
Au (0.1157, 0.1235, 0.3618)
Au (0.3165, 0.5296, 0.0391)
Au (0.0728, 0.2967, 0.1243)
Au (0.3843, 0.1235, 0.8618)
Au (0.8165, 0.4704, 0.4609)
Au (0.8843, 0.8765, 0.6382)
Au (0.5728, 0.7033, 0.3757)

Values from the calculation:
E_tot = -4.26 eV/atom
Symmetry = No. 14
Volume = 22.846 Å³ per atom

=====

No. 2
Compound: Sm2SbAu
Source: the Alexandria database
Functional: PBE
Structure: optimized geometry

Unit cell a=3.9472 b=5.1966 c=5.1966 alpha=90.00 beta=90.00 gamma=90.00
Last column: magnetic moment on the atom in μB.
Positions (direct):
Sm (0.0000, 0.0000, 0.5000)  0.11
Sm (0.0000, 0.5000, 0.0000)  0.11
Sb (0.5000, 0.5000, 0.5000)  -0.01
Au (0.5000, 0.0000, 0.0000)  0.02

Values from the calculation:
E_tot = -5.05 eV/atom
Symmetry = No. 123
Volume = 26.649 Å³ per atom

=====

No. 3
Compound: SrSmSbAu
Source: the Alexandria database
Functional: PBE
Structure: optimized geometry

Unit cell a=5.4421 b=5.4421 c=5.4421 alpha=60.00 beta=60.00 gamma=60.00
Positions (direct):
Au (0.5000, 0.5000, 0.5000)
Sr (0.7500, 0.7500, 0.7500)
Sb (0.0000, 0.0000, 0.0000)
Sm (0.2500, 0.2500, 0.2500)

Values from the calculation:
E_tot = -4.23 eV/atom
Symmetry = No. 216
Volume = 28.493 Å³ per atom

=====

No. 4
Compound: SrSmSb2Au2
Source: the Alexandria database
Functional: PBE
Structure: optimized geometry

Unit cell a=4.6965 b=4.6965 c=8.5623 alpha=90.00 beta=90.00 gamma=120.00
Positions (direct):
Au (0.6667, 0.3333, 0.7003)
Au (0.3333, 0.6667, 0.2997)
Sb (0.3333, 0.6667, 0.7501)
Sb (0.6667, 0.3333, 0.2499)
Sm (0.0000, 0.0000, 0.5000)
Sr (0.0000, 0.0000, 0.0000)

Values from the calculation:
E_tot = -4.38 eV/atom
Symmetry = No. 164
Volume = 27.260 Å³ per atom

=====

No. 5
Compound: Sm4SbTe2Au
Source: the Alexandria database
Functional: PBE
Structure: optimized geometry

Unit cell a=4.3488 b=7.7401 c=7.6517 alpha=71.22 beta=90.00 gamma=90.00
Positions (direct):
Sm (0.5000, 0.2587, 0.7496)
Sm (0.5000, 0.7413, 0.2504)
Sm (0.0000, 0.7350, 0.7622)
Sm (0.0000, 0.2650, 0.2378)
Au (0.5000, 0.5000, 0.0000)
Te (0.5000, 0.0000, 0.5000)
Te (0.0000, 0.0000, 0.0000)
Sb (0.0000, 0.5000, 0.5000)

Values from the calculation:
E_tot = -5.25 eV/atom
Symmetry = No. 10
Volume = 30.481 Å³ per atom

=====

No. 6
Compound: SmTlSbAu
Source: the Alexandria database
Functional: PBE
Structure: optimized geometry

Unit cell a=5.3511 b=5.3511 c=5.3511 alpha=60.00 beta=60.00 gamma=60.00
Positions (direct):
Au (0.0000, 0.0000, 0.0000)
Tl (0.2500, 0.2500, 0.2500)
Sb (0.5000, 0.5000, 0.5000)
Sm (0.7500, 0.7500, 0.7500)

Values from the calculation:
E_tot = -4.03 eV/atom
Symmetry = No. 216
Volume = 27.086 Å³ per atom

=====

No. 7
Compound: SnSbAu
Source: the Alexandria database
Functional: PBE
Structure: optimized geometry

Unit cell a=3.1837 b=3.1837 c=8.0865 alpha=101.35 beta=101.35 gamma=90.00
Positions (direct):
Sb (0.9423, 0.9423, 0.8846)
Au (0.7655, 0.7655, 0.5310)
Sn (0.1422, 0.1422, 0.2843)

Values from the calculation:
E_tot = -3.76 eV/atom
Symmetry = No. 107
Volume = 26.241 Å³ per atom
Energy above the most stable polymorph in this dataset = 123 meV/atom

=====

No. 8
Compound: SnSb2Au2
Source: the Alexandria database
Functional: PBE
Structure: optimized geometry

Unit cell a=3.9845 b=3.9845 c=8.3420 alpha=76.18 beta=76.18 gamma=90.00
Positions (direct):
Au (0.7500, 0.2500, 0.5000)
Au (0.2500, 0.7500, 0.5000)
Sb (0.6120, 0.6120, 0.7760)
Sb (0.3880, 0.3880, 0.2240)
Sn (0.0000, 0.0000, 0.0000)

Values from the calculation:
E_tot = -3.70 eV/atom
Symmetry = No. 139
Volume = 24.932 Å³ per atom
Energy above the most stable polymorph in this dataset = 132 meV/atom